The following is a GGA-PBE calculation of a relaxed structure of CePm6Y2, from the Alexandria database.

- Electronic total energy: -46.708 eV per cell

a b c (Å): 3.6238 3.6238 26.9294
angles (deg): 90.00 90.00 120.00
Fractional coordinates of all 9 atoms:
Ce1 0.0000 0.0000 0.0000
Pm1 0.0000 0.0000 0.2195
Pm2 0.0000 0.0000 0.4339
Pm3 0.0000 0.0000 0.5661
Pm4 0.0000 0.0000 0.7805
Pm5 0.3333 0.6667 0.1081
Pm6 0.3333 0.6667 0.8919
Y1 0.3333 0.6667 0.3284
Y2 0.3333 0.6667 0.6716

The following is a GGA-PBE calculation of a relaxed structure of Ba2LiMn, from the Alexandria database.

- Energy relative to the lowest polymorph listed for this composition: 49 meV per atom

a b c (Å): 6.8766 6.8766 5.9432
angles (deg): 110.44 110.44 34.44
Fractional coordinates of all 4 atoms:
Ba1 0.0000 0.0000 0.0000
Ba2 0.2049 0.2049 0.6653
Li1 0.7884 0.7884 0.2547
Mn1 0.4544 0.4544 0.4637

What did the first record say?
The following is a GGA-PBE calculation of a relaxed structure of CePm6Y2, from the Alexandria database.

- Electronic total energy: -46.708 eV per cell

a b c (Å): 3.6238 3.6238 26.9294
angles (deg): 90.00 90.00 120.00
Fractional coordinates of all 9 atoms:
Ce1 0.0000 0.0000 0.0000
Pm1 0.0000 0.0000 0.2195
Pm2 0.0000 0.0000 0.4339
Pm3 0.0000 0.0000 0.5661
Pm4 0.0000 0.0000 0.7805
Pm5 0.3333 0.6667 0.1081
Pm6 0.3333 0.6667 0.8919
Y1 0.3333 0.6667 0.3284
Y2 0.3333 0.6667 0.6716